Record 1
The following is a PBE calculation of a geometry-optimized HfSc2Hg2 structure, from the Alexandria database.

Geometry as POSCAR:
```
HfSc2Hg2
1.0
-3.7724 -4.5112 5.5869
-3.3020 -4.5144 -5.8748
2.6872 -2.1098 0.1109
Hg Sc Hf
4 4 2
Direct
0.8497 0.3497 0.5000
0.1503 0.6503 0.5000
0.3497 0.1503 0.5000
0.6503 0.8497 0.5000
0.6492 0.1492 0.0000
0.8508 0.6492 0.0000
0.1492 0.3508 0.0000
0.3508 0.8508 0.0000
0.0000 0.0000 0.0000
0.5000 0.5000 0.0000
```

Properties
mass density	9.9	g cm⁻³
formation energy from the elements	-0.0109	eV/atom
crystal system	tetragonal
symmetry	P4/mbm (127)
DFT total energy	-0.1711	hartree per atom


Record 2
The following is a PBE calculation of a geometry-optimized KMg2Be structure, from the Alexandria database.

Geometry as POSCAR:
```
KMg2Be
1.0
6.6623 -0.0037 -0.0068
3.4499 5.6995 0.0068
-4.1314 -4.4895 2.6761
Be K Mg
1 1 2
Direct
0.7500 0.2500 0.5000
0.2500 0.7500 0.5000
0.5602 0.5602 0.0000
0.9398 0.9398 0.0000
```

Properties
mass density	1.6	g cm⁻³
formation energy from the elements	0.4643	eV/atom
crystal system	orthorhombic
symmetry	Immm (71)
DFT total energy	-0.0566	hartree per atom